No. 1
This record from Alexandria via LeMat-Bulk describes crystalline Sm2ZnNi3P4 at its relaxed geometry. The functional is PBE.

abc: 4.0492 4.0492 9.4081
angles: 90.00 90.00 90.00
Fractional coordinates of all 10 atoms:
Sm 0.5000 0.0000 0.2397
P 0.5000 0.0000 0.6432
Ni 0.5000 0.0000 0.8883
Sm 0.0000 0.5000 0.7603
P 0.0000 0.0000 0.0000
Zn 0.5000 0.5000 0.5000
P 0.5000 0.5000 0.0000
Ni 0.0000 0.0000 0.5000
Ni 0.0000 0.5000 0.1117
P 0.0000 0.5000 0.3568

Results
The symmetry is P-4m2 (115). The density of states at the Fermi level is 3.74 states/eV/cell. The calculated formation energy comes out at -0.874 eV per atom. As for the volume: 154.26 Å³/cell.

No. 2
This record from Alexandria via LeMat-Bulk describes crystalline Sm2ZnNi12P3 at its relaxed geometry. The functional is PBE.

abc: 6.2914 6.2914 6.2914
angles: 85.04 85.04 85.04
Fractional coordinates of all 18 atoms:
Ni 0.8225 0.8225 0.3065
P 0.5000 0.0000 0.0000
Ni 0.1775 0.6935 0.1775
Ni 0.6211 0.1076 0.6211
Ni 0.3065 0.8225 0.8225
Ni 0.3789 0.3789 0.8924
Ni 0.3789 0.8924 0.3789
Ni 0.1076 0.6211 0.6211
P 0.0000 0.5000 0.0000
Ni 0.6935 0.1775 0.1775
Ni 0.8924 0.3789 0.3789
Zn 0.0000 0.0000 0.0000
Sm 0.3395 0.3395 0.3395
Ni 0.1775 0.1775 0.6935
Ni 0.6211 0.6211 0.1076
Sm 0.6605 0.6605 0.6605
Ni 0.8225 0.3065 0.8225
P 0.0000 0.0000 0.5000

Results
The symmetry is R-3m (166). The density of states at the Fermi level is 15.95 states/eV/cell. The calculated formation energy comes out at -0.134 eV per atom. As for the volume: 246.38 Å³/cell.

No. 3
This record from Alexandria via LeMat-Bulk describes crystalline SmZn2Ni2P at its relaxed geometry. The functional is PBE.

abc: 4.2611 4.2611 5.5114
angles: 90.00 90.00 90.00
Fractional coordinates of all 6 atoms:
Sm 0.0000 0.0000 0.5000
Ni 0.5000 0.0000 0.0000
Zn 0.5000 0.5000 0.2673
P 0.0000 0.0000 0.0000
Zn 0.5000 0.5000 0.7327
Ni 0.0000 0.5000 0.0000

Results
The symmetry is P4/mmm (123). The density of states at the Fermi level is 3.41 states/eV/cell. The calculated formation energy comes out at -0.484 eV per atom. As for the volume: 100.07 Å³/cell.

No. 4
This record from Alexandria via LeMat-Bulk describes crystalline Ni10Sn5P3 at its relaxed geometry. The functional is PBE.

abc: 6.4591 8.3714 10.3319
angles: 73.52 84.36 82.80
Fractional coordinates of all 36 atoms:
Ni 0.8634 0.1353 0.6243
Sn 0.2976 0.4491 0.7416
Ni 0.1419 0.3523 0.5479
Ni 0.7111 0.2732 0.1985
Sn 0.6486 0.0881 0.8698
Ni 0.9413 0.5693 0.8742
P 0.6076 0.6845 0.8854
Sn 0.9661 0.8161 0.6280
Ni 0.6574 0.6025 0.6942
Ni 0.6027 0.3931 0.9322
Ni 0.3426 0.3975 0.3058
P 0.3924 0.3155 0.1146
Sn 0.0339 0.1839 0.3720
Ni 0.0000 0.0000 0.0000
P 0.0772 0.7190 0.9841
Sn 0.5321 0.1820 0.4980
Sn 0.4679 0.8180 0.5020
Sn 0.7024 0.5509 0.2584
Ni 0.0587 0.4307 0.1258
P 0.8015 0.4058 0.6000
Ni 0.3973 0.6069 0.0678
Sn 0.2049 0.0494 0.7586
Ni 0.2675 0.2131 0.9644
Sn 0.7951 0.9506 0.2414
Ni 0.5793 0.9170 0.7065
Ni 0.0578 0.7030 0.2035
Ni 0.9422 0.2970 0.7965
Ni 0.2889 0.7268 0.8015
Ni 0.5000 0.5000 0.5000
P 0.9228 0.2810 0.0159
Ni 0.1366 0.8647 0.3757
Ni 0.4207 0.0830 0.2935
P 0.1985 0.5942 0.4000
Ni 0.8581 0.6477 0.4521
Ni 0.7325 0.7869 0.0356
Sn 0.3514 0.9119 0.1302

Results
The symmetry is P-1 (2). The density of states at the Fermi level is 16.16 states/eV/cell. The calculated formation energy comes out at -0.384 eV per atom. As for the volume: 530.32 Å³/cell.

What is the volume in the fourth record? 530.32 Å³/cell

What is the calculated formation energy in the third record? -0.484 eV per atom